No. 1
Density functional theory data (GGA-PBE) for crystalline FePbW4C2 at its relaxed geometry.

Lattice parameters (Å, degrees): 3.0949 3.0949 13.8679 90.00 90.00 120.00
Last column: magnetic moment on the atom in μB.
Element x y z (fractional)
1 W 0.3333 0.6667 0.8565  -0.08
2 W 0.0000 0.0000 0.3101  -0.04
3 W 0.0000 0.0000 0.6899  -0.04
4 W 0.3333 0.6667 0.1435  -0.09
5 C 0.6667 0.3333 0.7701  -0.01
6 C 0.6667 0.3333 0.2299  -0.01
7 Fe 0.0000 0.0000 0.0000  1.97
8 Pb 0.3333 0.6667 0.5000  0.01

Properties
The calculation puts the magnetic moment at 1.67 μB per formula unit. The calculation puts the total DFT energy (no corrections) at -9.900 eV per atom.

=====

No. 2
Density functional theory data (GGA-PBE) for crystalline Y4FePbC2 at its relaxed geometry.

Lattice parameters (Å, degrees): 3.6181 3.6181 15.1854 90.00 90.00 120.00
Last column: magnetic moment on the atom in μB.
Element x y z (fractional)
1 Pb 0.0000 0.0000 0.0000  0.00
2 Y 0.0000 0.0000 0.6405  -0.16
3 Y 0.0000 0.0000 0.3595  -0.16
4 Y 0.6667 0.3333 0.1813  -0.03
5 Y 0.6667 0.3333 0.8187  -0.03
6 C 0.3333 0.6667 0.7330  0.03
7 C 0.3333 0.6667 0.2670  0.03
8 Fe 0.6667 0.3333 0.5000  2.63

Properties
The calculation puts the magnetic moment at 1.91 μB per formula unit. The calculation puts the total DFT energy (no corrections) at -7.213 eV per atom.

=====

No. 3
Density functional theory data (GGA-PBE) for crystalline PmFe2C2 at its relaxed geometry.

Lattice parameters (Å, degrees): 5.1874 5.1874 5.4721 107.84 107.84 110.70
Element x y z (fractional)
1 C 0.8061 0.1939 0.7500
2 C 0.5560 0.4440 0.2500
3 C 0.4440 0.5560 0.7500
4 C 0.1939 0.8061 0.2500
5 Fe 0.2428 0.4928 0.9856
6 Fe 0.4928 0.2428 0.4856
7 Fe 0.5072 0.7572 0.5144
8 Fe 0.7572 0.5072 0.0144
9 Pm 0.1250 0.8750 0.7500
10 Pm 0.8750 0.1250 0.2500

Properties
The calculation puts the magnetic moment at 0.00 μB per formula unit. The calculation puts the total DFT energy (no corrections) at -8.178 eV per atom.

=====

No. 4
Density functional theory data (GGA-PBE) for crystalline Pr2Fe17C3 at its relaxed geometry.

Lattice parameters (Å, degrees): 6.5477 6.5477 6.5477 84.03 95.97 95.97
Last column: magnetic moment on the atom in μB.
Element x y z (fractional)
1 Fe 0.3394 0.1387 0.6606  2.13
2 Fe 0.1387 0.3394 0.3394  2.09
3 Fe 0.0944 0.9056 0.9056  2.61
4 Fe 0.7160 0.7160 0.0000  1.83
5 Fe 0.0000 0.5000 0.0000  2.43
6 Fe 0.5000 0.0000 0.0000  2.41
7 Fe 0.3394 0.6606 0.1387  2.16
8 Fe 0.7160 0.0000 0.7160  1.87
9 Fe 0.6606 0.8613 0.3394  2.13
10 Fe 0.8613 0.6606 0.6606  2.09
11 Fe 0.6606 0.3394 0.8613  2.16
12 Fe 0.0000 0.2840 0.7160  1.82
13 Fe 0.0000 0.7160 0.2840  1.82
14 Fe 0.2840 0.0000 0.2840  1.87
15 Fe 0.2840 0.2840 0.0000  1.83
16 Fe 0.9056 0.0944 0.0944  2.61
17 Fe 0.0000 0.0000 0.5000  2.46
18 Pr 0.6524 0.3476 0.3476  -0.20
19 Pr 0.3476 0.6524 0.6524  -0.20
20 C 0.5000 0.5000 0.0000  -0.15
21 C 0.5000 0.0000 0.5000  -0.14
22 C 0.0000 0.5000 0.5000  -0.14

Properties
The calculation puts the magnetic moment at 34.94 μB per formula unit. The calculation puts the total DFT energy (no corrections) at -8.127 eV per atom.

=====

No. 5
Density functional theory data (GGA-PBE) for crystalline Pr2Fe14C at its relaxed geometry.

Lattice parameters (Å, degrees): 8.7729 8.7729 11.9499 90.00 90.00 90.00
Last column: magnetic moment on the atom in μB.
Element x y z (fractional)
1 Fe 0.2746 0.0662 0.6211  2.14
2 Fe 0.4019 0.5981 0.7094  2.25
3 Fe 0.2254 0.5662 0.1211  2.12
4 Fe 0.5000 0.5000 0.1072  1.83
5 Fe 0.9639 0.6404 0.1775  2.30
6 Fe 0.0981 0.0981 0.2094  2.24
7 Fe 0.5361 0.1404 0.3225  2.31
8 Fe 0.8172 0.1828 0.7451  2.69
9 Fe 0.6828 0.6828 0.2451  2.69
10 Fe 0.5000 0.0000 0.5000  2.33
11 Fe 0.0000 0.5000 0.0000  2.32
12 Fe 0.1828 0.8172 0.7451  2.68
13 Fe 0.9019 0.9019 0.2094  2.24
14 Fe 0.0000 0.5000 0.5000  2.32
15 Fe 0.4338 0.7746 0.8789  2.15
16 Fe 0.0000 0.0000 0.6072  1.82
17 Fe 0.6404 0.9639 0.1775  2.30
18 Fe 0.5981 0.4019 0.7094  2.25
19 Fe 0.5361 0.1404 0.6775  2.31
20 Fe 0.0000 0.0000 0.3928  1.82
21 Fe 0.0662 0.2746 0.3789  2.16
22 Fe 0.0662 0.2746 0.6211  2.16
23 Fe 0.1404 0.5361 0.6775  2.32
24 Fe 0.9639 0.6404 0.8225  2.30
25 Fe 0.4639 0.8596 0.3225  2.31
26 Fe 0.4338 0.7746 0.1211  2.14
27 Fe 0.3596 0.0361 0.8225  2.30
28 Fe 0.5000 0.0000 0.0000  2.32
29 Fe 0.1828 0.8172 0.2549  2.69
30 Fe 0.8596 0.4639 0.6775  2.32
31 Fe 0.7746 0.4338 0.8789  2.12
32 Fe 0.5662 0.2254 0.8789  2.14
33 Fe 0.5981 0.4019 0.2906  2.25
34 Fe 0.4019 0.5981 0.2906  2.25
35 Fe 0.7254 0.9338 0.3789  2.14
36 Fe 0.9338 0.7254 0.6211  2.16
37 Fe 0.2254 0.5662 0.8789  2.12
38 Fe 0.3596 0.0361 0.1775  2.30
39 Fe 0.4639 0.8596 0.6775  2.31
40 Fe 0.5662 0.2254 0.1211  2.15
41 Fe 0.7746 0.4338 0.1211  2.12
42 Fe 0.8172 0.1828 0.2549  2.68
43 Fe 0.9338 0.7254 0.3789  2.16
44 Fe 0.9019 0.9019 0.7906  2.24
45 Fe 0.3172 0.3172 0.2451  2.69
46 Fe 0.0361 0.3596 0.1775  2.30
47 Fe 0.7254 0.9338 0.6211  2.14
48 Fe 0.3172 0.3172 0.7549  2.69
49 Fe 0.2746 0.0662 0.3789  2.14
50 Fe 0.8596 0.4639 0.3225  2.32
51 Fe 0.6828 0.6828 0.7549  2.69
52 Fe 0.6404 0.9639 0.8225  2.30
53 Fe 0.0981 0.0981 0.7906  2.24
54 Fe 0.5000 0.5000 0.8928  1.83
55 Fe 0.1404 0.5361 0.3225  2.32
56 Fe 0.0361 0.3596 0.8225  2.30
57 Pr 0.6425 0.6425 0.5000  -0.29
58 Pr 0.7615 0.2385 0.5000  -0.29
59 Pr 0.1425 0.8575 0.0000  -0.29
60 Pr 0.7385 0.7385 0.0000  -0.29
61 Pr 0.3575 0.3575 0.5000  -0.29
62 Pr 0.2385 0.7615 0.5000  -0.29
63 Pr 0.2615 0.2615 0.0000  -0.29
64 Pr 0.8575 0.1425 0.0000  -0.29
65 C 0.1245 0.1245 0.5000  -0.15
66 C 0.6245 0.3755 0.0000  -0.15
67 C 0.3755 0.6245 0.0000  -0.15
68 C 0.8755 0.8755 0.5000  -0.15

Properties
The calculation puts the magnetic moment at 30.50 μB per formula unit. The calculation puts the total DFT energy (no corrections) at -7.946 eV per atom.

=====

No. 6
Density functional theory data (GGA-PBE) for crystalline Pr2Fe2Si2C at its relaxed geometry.

Lattice parameters (Å, degrees): 5.7823 5.7823 7.0143 125.56 125.56 40.49
Element x y z (fractional)
1 Si 0.3197 0.3197 0.7549
2 Si 0.6803 0.6803 0.2451
3 Fe 0.3058 0.3058 0.4140
4 Fe 0.6942 0.6942 0.5860
5 Pr 0.0588 0.0588 0.8014
6 Pr 0.9412 0.9412 0.1986
7 C 0.5000 0.5000 0.5000

Properties
The calculation puts the magnetic moment at 0.00 μB per formula unit. The calculation puts the total DFT energy (no corrections) at -7.185 eV per atom.

=====

No. 7
Density functional theory data (GGA-PBE) for crystalline Tm2FeReSi2C at its relaxed geometry.

Lattice parameters (Å, degrees): 5.7207 5.7207 6.7547 126.13 126.13 40.47
Element x y z (fractional)
1 Tm 0.5652 0.5652 0.8345
2 Tm 0.4352 0.4352 0.1666
3 C 0.0106 0.0106 0.0153
4 Si 0.8411 0.8411 0.3836
5 Si 0.1418 0.1418 0.5880
6 Re 0.7978 0.7978 0.6947
7 Fe 0.2082 0.2082 0.3172

Properties
The calculation puts the magnetic moment at 0.01 μB per formula unit. The calculation puts the total DFT energy (no corrections) at -7.740 eV per atom.

=====

No. 8
Density functional theory data (GGA-PBE) for crystalline Y2FeReC6 at its relaxed geometry.

Lattice parameters (Å, degrees): 5.2197 5.2197 6.2848 119.82 119.82 54.65
Element x y z (fractional)
1 C 0.4016 0.6821 0.8349
2 C 0.3179 0.5984 0.1651
3 C 0.2548 0.2548 0.3211
4 C 0.6821 0.4016 0.8349
5 C 0.5984 0.3179 0.1651
6 C 0.7452 0.7452 0.6789
7 Y 0.2274 0.2274 0.7080
8 Y 0.7726 0.7726 0.2920
9 Fe 0.5000 0.5000 0.5000
10 Re 0.0000 0.0000 0.0000

Properties
The calculation puts the magnetic moment at 0.03 μB per formula unit. The calculation puts the total DFT energy (no corrections) at -8.612 eV per atom.

=====

No. 9
Density functional theory data (GGA-PBE) for crystalline Sc4FeC2S at its relaxed geometry.

Lattice parameters (Å, degrees): 3.3653 3.3653 12.7367 90.00 90.00 120.00
Last column: magnetic moment on the atom in μB.
Element x y z (fractional)
1 Sc 0.0000 0.0000 0.8337  -0.14
2 Sc 0.6667 0.3333 0.3604  -0.04
3 Sc 0.6667 0.3333 0.6396  -0.04
4 Sc 0.0000 0.0000 0.1663  -0.14
5 S 0.0000 0.0000 0.5000  0.00
6 C 0.3333 0.6667 0.2622  0.02
7 C 0.3333 0.6667 0.7378  0.02
8 Fe 0.6667 0.3333 0.0000  2.60

Properties
The calculation puts the magnetic moment at 2.03 μB per formula unit. The calculation puts the total DFT energy (no corrections) at -7.688 eV per atom.

=====

No. 10
Density functional theory data (GGA-PBE) for crystalline Fe2CSeS at its relaxed geometry.

Lattice parameters (Å, degrees): 3.0949 3.0949 8.4876 90.00 90.00 120.00
Last column: magnetic moment on the atom in μB.
Element x y z (fractional)
1 C 0.0000 0.0000 0.9855  -0.03
2 Se 0.6667 0.3333 0.7024  -0.01
3 S 0.3333 0.6667 0.2800  -0.04
4 Fe 0.3333 0.6667 0.9082  0.21
5 Fe 0.6667 0.3333 0.1239  0.93

Properties
The calculation puts the magnetic moment at 1.06 μB per formula unit. The calculation puts the total DFT energy (no corrections) at -6.666 eV per atom.

=====

No. 11
Density functional theory data (GGA-PBE) for crystalline Ta4FeC2S at its relaxed geometry.

Lattice parameters (Å, degrees): 3.1480 3.1480 12.4430 90.00 90.00 120.00
Last column: magnetic moment on the atom in μB.
Element x y z (fractional)
1 C 0.3333 0.6667 0.7469  0.00
2 C 0.3333 0.6667 0.2531  0.00
3 Ta 0.6667 0.3333 0.1537  -0.09
4 Ta 0.0000 0.0000 0.6454  0.03
5 Ta 0.6667 0.3333 0.8463  -0.09
6 Ta 0.0000 0.0000 0.3546  0.01
7 S 0.6667 0.3333 0.5000  0.00
8 Fe 0.0000 0.0000 0.0000  1.46

Properties
The calculation puts the magnetic moment at 1.29 μB per formula unit. The calculation puts the total DFT energy (no corrections) at -10.236 eV per atom.

=====

No. 12
Density functional theory data (GGA-PBE) for crystalline Fe2TeCS at its relaxed geometry.

Lattice parameters (Å, degrees): 3.1500 3.1500 8.6979 90.00 90.00 120.00
Last column: magnetic moment on the atom in μB.
Element x y z (fractional)
1 Fe 0.3333 0.6667 0.8734  0.91
2 Fe 0.6667 0.3333 0.0814  0.14
3 S 0.6667 0.3333 0.7249  -0.04
4 Te 0.3333 0.6667 0.3126  -0.01
5 C 0.0000 0.0000 0.0077  -0.02

Properties
The calculation puts the magnetic moment at 0.97 μB per formula unit. The calculation puts the total DFT energy (no corrections) at -6.530 eV per atom.